No. 1
Here is a geometry-optimized TlCrPt4 structure from the Alexandria database. Energies are from GGA-PBEsol.

Calculated values
Electronic total energy: -6.66 eV per atom
V: 17.1 A^3/atom
ΔH_f (0 K): 0.13 eV/atom

Unit cell a=7.437 b=7.437 c=7.437 alpha=90.00 beta=90.00 gamma=90.00
Space group F-43m (No. 216)
Unique sites:
Tl  0.000  0.000  0.000
Cr  0.250  0.250  0.250
Pt  0.125  0.125  0.625



No. 2
Here is a geometry-optimized CsLiMg3 structure from the Alexandria database. Energies are from GGA-PBEsol.

Calculated values
Electronic total energy: -0.59 eV per atom
V: 56.2 A^3/atom
ΔH_f (0 K): 1.03 eV/atom

Unit cell a=6.549 b=6.549 c=6.549 alpha=90.00 beta=90.00 gamma=90.00
Space group Pm-3m (No. 221)
Unique sites:
Cs  0.000  0.000  0.000
Li  0.500  0.500  0.500
Mg  0.000  0.000  0.500



No. 3
Here is a geometry-optimized Li2VF6 structure from the Alexandria database. Energies are from GGA-PBEsol.

Calculated values
Excess energy over the best structure of this formula in the dataset: 0 meV/atom
Electronic total energy: -5.73 eV per atom
V: 10.4 A^3/atom
Uncorrected formation energy: -2941.7 meV per atom

Unit cell a=4.586 b=4.586 c=8.867 alpha=90.00 beta=90.00 gamma=90.00
Space group P4_2/mnm (No. 136)
Unique sites:
Li  0.000  0.000  0.165
V  0.000  0.000  0.500
F  0.194  0.194  0.346
F  0.217  0.217  0.000



No. 4
Here is a geometry-optimized ScCr2Cl structure from the Alexandria database. Energies are from GGA-PBEsol.

Calculated values
Excess energy over the best structure of this formula in the dataset: 393 meV/atom
Electronic total energy: -6.99 eV per atom
V: 14.1 A^3/atom
Uncorrected formation energy: 282.8 meV per atom

Unit cell a=3.084 b=3.730 c=9.778 alpha=90.00 beta=90.00 gamma=90.00
Space group Immm (No. 71)
Unique sites:
Sc  0.000  0.000  0.000
Cr  0.000  0.500  0.250
Cl  0.000  0.000  0.500



No. 5
Here is a geometry-optimized LaCo2F2 structure from the Alexandria database. Energies are from GGA-PBEsol.

Calculated values
Electronic total energy: -6.19 eV per atom
V: 16.0 A^3/atom
Uncorrected formation energy: -1254.1 meV per atom

Unit cell a=3.190 b=3.190 c=15.704 alpha=90.00 beta=90.00 gamma=90.00
Space group I4/mmm (No. 139)
Unique sites:
La  0.000  0.000  0.000
Co  0.000  0.500  0.250
F  0.000  0.000  0.427



No. 6
Here is a geometry-optimized Ca2FeRh structure from the Alexandria database. Energies are from GGA-PBEsol.

Calculated values
Electronic total energy: -4.87 eV per atom
V: 19.9 A^3/atom
ΔH_f (0 K): 0.47 eV/atom

Unit cell a=3.2032 b=3.2032 c=26.8171 alpha=90.00 beta=90.00 gamma=120.00
Space group R-3m (No. 166, hexagonal axes)
Unique sites:
Ca  0.0000  0.0000  0.2450
Fe  0.0000  0.0000  0.0000
Rh  0.0000  0.0000  0.5000